(1)
## HgIrSe2N (GGA-PBE)

Data for HgIrSe2N after structural relaxation.

The value obtained for the energy above the most stable polymorph in this dataset is 1566 meV/atom.

Unit cell a=5.256 b=5.256 c=3.944 alpha=90.00 beta=90.00 gamma=90.00
Atoms (fractional coordinates):
Hg 0.000 0.000 0.000
Ir 0.500 0.500 0.500
Se 0.000 0.500 0.000
Se 0.500 0.000 0.000
N 0.000 0.000 0.500


(2)
## Sr2HgIrN (GGA-PBE)

Data for Sr2HgIrN after structural relaxation.

Unit cell a=5.531 b=5.531 c=3.817 alpha=90.00 beta=90.00 gamma=90.00
Atoms (fractional coordinates):
Sr 0.000 0.500 0.000
Sr 0.500 0.000 0.000
Hg 0.000 0.000 0.500
Ir 0.500 0.500 0.500
N 0.500 0.500 0.000


(3)
## HgTe2IrN (GGA-PBE)

Data for HgTe2IrN after structural relaxation.

The value obtained for the energy above the most stable polymorph in this dataset is 0 meV/atom.

Unit cell a=5.659 b=5.659 c=3.654 alpha=90.00 beta=90.00 gamma=90.00
Atoms (fractional coordinates):
Hg 0.000 0.000 0.000
Te 0.000 0.500 0.500
Te 0.500 0.000 0.500
Ir 0.500 0.500 0.500
N 0.500 0.500 0.000


(4)
## HgTeIrN2 (GGA-PBE)

Data for HgTeIrN2 after structural relaxation.

The value obtained for the energy above the most stable polymorph in this dataset is 0 meV/atom.

Unit cell a=3.915 b=3.915 c=5.910 alpha=90.00 beta=90.00 gamma=90.00
Atoms (fractional coordinates):
Hg 0.000 0.000 0.000
Te 0.500 0.500 0.000
Ir 0.500 0.500 0.500
N 0.000 0.500 0.500
N 0.500 0.000 0.500


no.,VASP energy (eV per cell),raw formation energy (eV/atom)
1,-14.71,1.949
2,-23.77,-0.584
3,-22.16,0.322
4,-24.68,0.854